VASP calculation (PBE-GGA) on a geometry-optimized LiNd2Sb4Pd3 structure.

Properties
formation energy (no corrections) = -0.803 eV/atom
E = -0.18945 hartree per atom
space-group type = P-4m2 (115)

Cell: 4.4474 4.4474 11.5587 Å, 90.00 90.00 90.00°
Closest atoms and distances in Å follow each position.
Sites, in units of the cell vectors:
Li 0.0000 0.0000 0.0000  4 Sb 2.71
Nd 0.0000 0.5000 0.7598  8 Sb 3.38-3.74, 6 Pd 3.44-3.56, 2 Li 3.56
Nd 0.5000 0.0000 0.2402  8 Sb 3.38-3.74, 6 Pd 3.44-3.56, 2 Li 3.56
Sb 0.0000 0.0000 0.5000  4 Pd 2.75
Sb 0.0000 0.5000 0.1339  3 Pd 2.62-2.71, 2 Li 2.71
Sb 0.5000 0.0000 0.8661  3 Pd 2.62-2.71, 2 Li 2.71
Sb 0.5000 0.5000 0.5000  4 Pd 2.75
Pd 0.0000 0.5000 0.3603  5 Sb 2.62-2.75
Pd 0.5000 0.0000 0.6397  5 Sb 2.62-2.75
Pd 0.5000 0.5000 0.0000  4 Sb 2.71